[1]
4
Lattice="3.4004 0.0000 0.0000 0.0000 3.4004 0.0000 0.0000 0.0000 7.7058" Properties=species:S:1:pos:R:3 comment="MnSb2Cl | Alexandria via LeMat-Bulk | PBE-GGA | optimized geometry" crystal_system=tetragonal pbc="T T T"
Mn 0.0000 0.0000 0.0000
Sb 1.7002 1.7002 1.5707
Sb 1.7002 1.7002 6.1351
Cl 0.0000 0.0000 3.8529

[2]
16
Lattice="-3.4458 5.9679 6.7127 3.4458 -5.9679 6.7127 3.4458 5.9679 -6.7127" Properties=species:S:1:pos:R:3 comment="AcNd2HoEr4 | Alexandria via LeMat-Bulk | PBE-GGA | optimized geometry" crystal_system=orthorhombic delta_e_f_ev_per_atom=0.4339 pbc="T T T"
Ac 0.0000 0.0000 0.0000
Ac 0.0000 5.9679 0.0000
Nd 3.4458 0.0000 0.0000
Nd -1.7229 2.9840 3.3564
Nd 0.0000 0.0000 6.7127
Nd 1.7229 2.9840 3.3564
Ho 1.7229 2.9840 -3.3564
Ho 1.7229 -2.9840 3.3564
Er 3.4458 -0.0631 3.2448
Er 1.8094 2.9840 -0.0700
Er 5.0823 2.9840 -0.0700
Er 3.4458 5.9048 -3.2448
Er 0.0000 0.0631 9.9575
Er -1.6364 2.9840 6.7827
Er 1.6364 2.9840 6.7827
Er 0.0000 6.0310 3.4679

[3]
12
Lattice="7.4076 0.0000 0.0000 0.0000 6.9961 0.0000 -1.0479 0.0000 6.6685" Properties=species:S:1:pos:R:3 comment="UTe4Rh | Alexandria via LeMat-Bulk | PBE-GGA | optimized geometry" crystal_system=monoclinic pbc="T T T"
U 0.0000 0.0000 0.0000
U -0.5239 3.4981 3.3342
Te 1.0590 1.2026 2.5296
Te 0.5350 2.2955 5.8638
Te 2.0860 4.9485 1.7752
Te 1.5621 5.5456 5.1094
Te 4.7977 1.4505 1.5591
Te 4.2737 2.0476 4.8933
Te 5.8247 4.7006 0.8047
Te 5.3008 5.7936 4.1389
Rh 3.1799 0.0000 3.3342
Rh 3.7038 3.4981 0.0000

[4]
11
Lattice="-2.7354 4.0201 7.9473 2.7354 -4.0201 7.9473 2.7354 4.0201 -7.9473" Properties=species:S:1:pos:R:3 comment="PmY2Er8 | Alexandria via LeMat-Bulk | PBE-GGA | optimized geometry" crystal_system=orthorhombic delta_e_f_ev_per_atom=0.1195 pbc="T T T"
Pm 0.0000 0.0000 0.0000
Y 0.0000 0.0000 4.7599
Y 0.0000 0.0000 11.1347
Er 2.7354 -1.6657 5.7454
Er 2.7354 0.0000 2.5893
Er 2.7354 2.3628 0.0000
Er 0.0000 2.3544 2.2019
Er 2.7354 1.6657 5.7454
Er 0.0000 1.6574 7.9473
Er 0.0000 4.0201 5.3580
Er 0.0000 5.6859 2.2019

[5]
10
Lattice="3.7657 -6.4228 0.0000 3.7657 6.4228 0.0000 0.0000 0.0000 4.7717" Properties=species:S:1:pos:R:3 comment="CaGa2Au7 | Alexandria via LeMat-Bulk | PBE-GGA | optimized geometry" crystal_system=orthorhombic delta_e_f_ev_per_atom=-0.2291 pbc="T T T"
Ca 0.0000 0.0000 0.0000
Ga 3.7657 2.5847 2.3858
Ga 3.7657 -2.5847 2.3858
Au 1.3929 1.4865 2.3858
Au 3.7657 3.5087 0.0000
Au 1.3929 -1.4865 2.3858
Au 3.7657 0.0000 2.3858
Au 6.1385 1.4865 2.3858
Au 3.7657 -3.5087 0.0000
Au 6.1385 -1.4865 2.3858

[6]
8
Lattice="6.5322 0.0000 0.0000 -3.2661 5.6571 0.0000 0.0000 0.0000 5.1404" Properties=species:S:1:pos:R:3 comment="Tm3Si | Alexandria via LeMat-Bulk | PBE-GGA | optimized geometry" crystal_system=hexagonal pbc="T T T"
Tm 0.0000 1.9801 1.2851
Tm -1.5513 4.6670 1.2851
Tm 1.7148 0.9901 3.8553
Tm 1.5513 4.6670 1.2851
Tm 4.8174 0.9901 3.8553
Tm 3.2661 3.6769 3.8553
Si 0.0000 3.7714 3.8553
Si 3.2661 1.8857 1.2851

[7]
5
Lattice="5.2107 0.0000 0.0000 0.0000 5.2107 0.0000 0.0000 0.0000 5.2107" Properties=species:S:1:pos:R:3 comment="Mg3SiW | Alexandria via LeMat-Bulk | PBE-GGA | optimized geometry" crystal_system=cubic pbc="T T T"
Mg 0.0000 0.0000 2.6054
Mg 0.0000 2.6054 0.0000
Mg 2.6054 0.0000 0.0000
Si 2.6054 2.6054 2.6054
W 0.0000 0.0000 0.0000

[8]
15
Lattice="3.6604 0.0000 0.0000 -1.8302 3.1700 0.0000 0.0000 0.0000 28.3704" Properties=species:S:1:pos:R:3 comment="Pr2NdN2 | Alexandria via LeMat-Bulk | PBE-GGA | optimized geometry" crystal_system=trigonal pbc="T T T"
Pr 0.0000 0.0000 6.5950
Pr 0.0000 0.0000 21.7754
Pr 0.0000 2.1133 12.3186
Pr 0.0000 2.1133 25.5086
Pr 1.8302 1.0567 2.8618
Pr 1.8302 1.0567 16.0518
Nd 0.0000 0.0000 0.0000
Nd 0.0000 2.1133 18.9136
Nd 1.8302 1.0567 9.4568
N 0.0000 0.0000 11.0206
N 0.0000 0.0000 17.3497
N 0.0000 2.1133 1.5639
N 0.0000 2.1133 7.8930
N 1.8302 1.0567 20.4774
N 1.8302 1.0567 26.8065

[9]
13
Lattice="-3.4894 4.8358 5.3269 3.4894 -4.8358 5.3269 3.4894 4.8358 -5.3269" Properties=species:S:1:pos:R:3 comment="NaAg5Cl7 | Alexandria via LeMat-Bulk | PBE-GGA | optimized geometry" crystal_system=orthorhombic pbc="T T T"
Na 0.0000 0.0000 0.0000
Ag 1.5247 3.0910 -1.8967
Ag 1.9648 -1.7448 3.4302
Ag 1.5247 6.5806 -1.8967
Ag 1.9648 1.7448 3.4302
Ag 0.0000 4.8358 2.0540
Cl 3.4894 1.6170 -1.2984
Cl 3.4894 0.0000 2.1387
Cl 0.0000 0.0000 2.6920
Cl 0.0000 2.9615 0.2647
Cl 0.0000 3.2188 4.0285
Cl 0.0000 6.7102 0.2647
Cl 0.0000 0.0000 8.0637

[10]
8
Lattice="6.1462 0.0000 0.0000 0.0000 3.5523 0.0000 -2.0369 0.0000 11.5265" Properties=species:S:1:pos:R:3 comment="Nd2TmMg | Alexandria via LeMat-Bulk | PBE-GGA | optimized geometry" crystal_system=monoclinic delta_e_f_ev_per_atom=0.0431 pbc="T T T"
Nd 0.0000 0.0000 0.0000
Nd 0.0090 0.0000 5.7187
Nd 3.0731 1.7761 0.0000
Nd 3.0821 1.7761 5.7187
Tm -1.0125 1.7761 8.6333
Tm 2.0606 0.0000 8.6333
Mg 2.0529 0.0000 2.8551
Mg 5.1260 1.7761 2.8551

[11]
11
Lattice="6.7360 -2.7874 0.0000 6.7360 2.7874 0.0000 -1.0546 0.0000 4.7894" Properties=species:S:1:pos:R:3 comment="SnPd8S2 | Alexandria via LeMat-Bulk | PBE-GGA | optimized geometry" crystal_system=monoclinic pbc="T T T"
Sn 0.0000 0.0000 0.0000
Pd 5.1124 1.3629 1.5338
Pd 2.5982 0.0000 0.9002
Pd 7.3051 1.3629 3.2556
Pd 4.6680 0.0000 3.8870
Pd 7.7495 0.0000 0.9024
Pd 5.1124 -1.3629 1.5338
Pd 9.8194 0.0000 3.8892
Pd 7.3051 -1.3629 3.2556
S 2.4170 0.0000 3.3258
S 10.0005 0.0000 1.4637

[12]
9
Lattice="7.6529 -1.9522 0.0000 7.6529 1.9522 0.0000 -3.0936 0.0000 7.4838" Properties=species:S:1:pos:R:3 comment="UTl2Au2S4 | Alexandria via LeMat-Bulk | PBE-GGA | optimized geometry" crystal_system=monoclinic pbc="T T T"
U 0.0000 0.0000 0.0000
Tl 0.1414 0.0000 4.3936
Tl 12.0709 0.0000 3.0902
Au 1.6437 0.0000 7.0768
Au 10.5686 0.0000 0.4071
S 1.9789 0.0000 1.7552
S 6.6091 0.0000 1.5218
S 5.6031 0.0000 5.9621
S 10.2333 0.0000 5.7286

[13]
10
Lattice="5.1298 -3.2658 0.0000 5.1298 3.2658 0.0000 -4.0615 0.0000 7.9998" Properties=species:S:1:pos:R:3 comment="Ca3ZnNi | Alexandria via LeMat-Bulk | PBE-GGA | optimized geometry" crystal_system=monoclinic delta_e_f_ev_per_atom=-0.1399 pbc="T T T"
Ca -0.6936 0.0000 1.8809
Ca 0.2622 0.0000 5.3912
Ca 2.6625 0.0000 1.0351
Ca 3.5356 0.0000 6.9648
Ca 5.9359 0.0000 2.6086
Ca 6.8917 0.0000 6.1189
Zn 3.0991 1.2739 3.9999
Zn 3.0991 -1.2739 3.9999
Ni 5.1298 1.1799 0.0000
Ni 5.1298 -1.1799 0.0000

[14]
5
Lattice="4.6609 0.0000 0.0000 0.0000 4.6609 0.0000 0.0000 0.0000 5.1164" Properties=species:S:1:pos:R:3 comment="TiInNi2Bi | Alexandria via LeMat-Bulk | PBE-GGA | optimized geometry" crystal_system=tetragonal delta_e_f_ev_per_atom=0.8503 pbc="T T T"
Ti 0.0000 0.0000 0.0000
In 0.0000 0.0000 2.5582
Ni 0.0000 2.3305 2.5582
Ni 2.3305 0.0000 2.5582
Bi 2.3305 2.3305 0.0000

[15]
12
Lattice="3.4183 -6.2597 0.0000 3.4183 6.2597 0.0000 0.0000 0.0000 6.6304" Properties=species:S:1:pos:R:3 comment="RbLiTiS3 | Alexandria via LeMat-Bulk | PBE-GGA | optimized geometry" crystal_system=orthorhombic pbc="T T T"
Rb 3.4183 3.2666 4.9728
Rb 3.4183 -3.2666 1.6576
Li 3.4183 5.3864 1.6576
Li 3.4183 -5.3864 4.9728
Ti 3.4183 0.7000 1.6576
Ti 3.4183 -0.7000 4.9728
S 1.7980 0.0000 0.0000
S 1.7980 0.0000 3.3152
S 3.4183 2.9061 1.6576
S 3.4183 -2.9061 4.9728
S 5.0387 0.0000 0.0000
S 5.0387 0.0000 3.3152

[16]
14
Lattice="3.6418 0.0000 0.0000 0.0000 4.4488 0.0000 0.0000 0.0000 19.2327" Properties=species:S:1:pos:R:3 comment="Y3Zn3Ga | Alexandria via LeMat-Bulk | PBE-GGA | optimized geometry" crystal_system=orthorhombic delta_e_f_ev_per_atom=-0.4186 pbc="T T T"
Y 0.0000 0.0000 0.0000
Y 0.0000 0.0000 7.3949
Y 0.0000 2.2244 3.6955
Y 1.8209 0.0000 13.3119
Y 1.8209 2.2244 9.6163
Y 1.8209 2.2244 17.0112
Zn 0.0000 0.0000 10.6313
Zn 0.0000 0.0000 16.0100
Zn 0.0000 2.2244 12.0168
Zn 1.8209 0.0000 2.4005
Zn 1.8209 2.2244 1.0150
Zn 1.8209 2.2244 6.3936
Ga 0.0000 2.2244 14.5614
Ga 1.8209 0.0000 4.9451

[17]
16
Lattice="8.2326 0.0000 0.0000 0.0000 8.2326 0.0000 0.0000 0.0000 8.2326" Properties=species:S:1:pos:R:3 comment="SrLaErMg | Alexandria via LeMat-Bulk | PBE-GGA | optimized geometry" crystal_system=cubic delta_e_f_ev_per_atom=0.1253 pbc="T T T"
Sr 0.0000 0.0000 0.0000
Sr 0.0000 4.1163 4.1163
Sr 4.1163 0.0000 4.1163
Sr 4.1163 4.1163 0.0000
La 0.0000 0.0000 4.1163
La 0.0000 4.1163 0.0000
La 4.1163 0.0000 0.0000
La 4.1163 4.1163 4.1163
Er 2.0581 2.0581 2.0581
Er 2.0581 6.1744 6.1744
Er 6.1744 2.0581 6.1744
Er 6.1744 6.1744 2.0581
Mg 2.0581 2.0581 6.1744
Mg 2.0581 6.1744 2.0581
Mg 6.1744 2.0581 2.0581
Mg 6.1744 6.1744 6.1744

[18]
8
Lattice="7.4851 0.0000 0.0000 0.0000 4.3210 0.0000 -2.4911 0.0000 8.3880" Properties=species:S:1:pos:R:3 comment="Cs2PmDySe4 | Alexandria via LeMat-Bulk | PBE-GGA | optimized geometry" crystal_system=monoclinic pbc="T T T"
Cs 0.0000 0.0000 0.0000
Cs 3.7425 2.1605 0.0000
Pm -1.2455 2.1605 4.1940
Dy 2.4970 0.0000 4.1940
Se 0.0452 0.0000 5.7754
Se 1.2907 2.1605 2.6315
Se 3.7033 2.1605 5.7565
Se 4.9489 0.0000 2.6127

[19]
4
Lattice="3.0850 0.0000 0.0000 0.0000 3.0850 0.0000 0.0000 0.0000 8.7541" Properties=species:S:1:pos:R:3 comment="LaScRu2 | Alexandria via LeMat-Bulk | PBE-GGA | optimized geometry" crystal_system=tetragonal delta_e_f_ev_per_atom=0.0777 pbc="T T T"
La 0.0000 0.0000 0.0000
Sc 1.5425 1.5425 5.5543
Ru 0.0000 0.0000 3.7554
Ru 1.5425 1.5425 2.3073

[20]
16
Lattice="6.3908 0.0000 0.0000 0.0000 6.3908 0.0000 0.0000 0.0000 6.3908" Properties=species:S:1:pos:R:3 comment="Hf2ReH | Alexandria via LeMat-Bulk | PBE-GGA | optimized geometry" crystal_system=cubic pbc="T T T"
Hf 1.5977 1.5977 1.5977
Hf 1.5977 1.5977 4.7931
Hf 1.5977 4.7931 1.5977
Hf 1.5977 4.7931 4.7931
Hf 4.7931 1.5977 1.5977
Hf 4.7931 1.5977 4.7931
Hf 4.7931 4.7931 1.5977
Hf 4.7931 4.7931 4.7931
Re 0.0000 0.0000 0.0000
Re 0.0000 3.1954 3.1954
Re 3.1954 0.0000 3.1954
Re 3.1954 3.1954 0.0000
H 0.0000 0.0000 3.1954
H 0.0000 3.1954 0.0000
H 3.1954 0.0000 0.0000
H 3.1954 3.1954 3.1954

no.,calculated total energy (eV per atom)
1,-4.87
2,-4.13
3,-5.51
4,-4.81
5,-3.33
6,-4.95
7,-3.07
8,-7.25
9,-2.73
10,-3.86
11,-5.10
12,-4.91
13,-2.75
14,-4.37
15,-5.21
16,-4.17
17,-3.07
18,-4.85
19,-7.38
20,-8.67